# CsSc3Ni (SCAN, single point on PBEsol structure)
data_CsSc3Ni
_chemical_formula_sum 'Cs1 Sc3 Ni1'
_space_group_name_H-M_alt 'P 1'
_space_group_IT_number 1
_cell_length_a 5.0759
_cell_length_b 5.0759
_cell_length_c 5.0759
_cell_angle_alpha 90.00
_cell_angle_beta 90.00
_cell_angle_gamma 90.00
loop_
_space_group_symop_operation_xyz
'x,y,z'
loop_
_atom_site_label
_atom_site_type_symbol
_atom_site_fract_x
_atom_site_fract_y
_atom_site_fract_z
Cs1 Cs 0.0000 0.0000 0.0000
Sc1 Sc 0.0000 0.5000 0.5000
Sc2 Sc 0.5000 0.0000 0.5000
Sc3 Sc 0.5000 0.5000 0.0000
Ni1 Ni 0.5000 0.5000 0.5000
# Calculated density, g/cm3: 4.145
# Total energy, eV/atom: -19.018
# Crystal system: cubic
# Size of the total moment, μB per atom: 0.001



# Cs2Ni3Se4 (SCAN, single point on PBEsol structure)
data_Cs2Ni3Se4
_chemical_formula_sum 'Cs2 Ni3 Se4'
_space_group_name_H-M_alt 'P 1'
_space_group_IT_number 1
_cell_length_a 8.9489
_cell_length_b 7.8811
_cell_length_c 6.0519
_cell_angle_alpha 78.72
_cell_angle_beta 59.73
_cell_angle_gamma 41.55
loop_
_space_group_symop_operation_xyz
'x,y,z'
loop_
_atom_site_label
_atom_site_type_symbol
_atom_site_fract_x
_atom_site_fract_y
_atom_site_fract_z
Cs1 Cs 0.1567 0.1567 0.8433
Cs2 Cs 0.8433 0.8433 0.1567
Ni1 Ni 0.0000 0.0000 0.5000
Ni2 Ni 0.5000 0.5000 0.0000
Ni3 Ni 0.5000 0.5000 0.5000
Se1 Se 0.2292 0.5638 0.4362
Se2 Se 0.4362 0.7708 0.2292
Se3 Se 0.5638 0.2292 0.7708
Se4 Se 0.7708 0.4362 0.5638
# Calculated density, g/cm3: 5.427
# Total energy, eV/atom: -23.485
# Crystal system: orthorhombic
# Formation energy (no corrections), eV per atom: -0.77
# Size of the total moment, μB per atom: 0.000



# CsNiSe3 (SCAN, single point on PBEsol structure)
data_CsNiSe3
_chemical_formula_sum 'Cs1 Ni1 Se3'
_space_group_name_H-M_alt 'P 1'
_space_group_IT_number 1
_cell_length_a 4.8700
_cell_length_b 4.8700
_cell_length_c 4.8700
_cell_angle_alpha 90.00
_cell_angle_beta 90.00
_cell_angle_gamma 90.00
loop_
_space_group_symop_operation_xyz
'x,y,z'
loop_
_atom_site_label
_atom_site_type_symbol
_atom_site_fract_x
_atom_site_fract_y
_atom_site_fract_z
Cs1 Cs 0.0000 0.0000 0.0000
Ni1 Ni 0.5000 0.5000 0.5000
Se1 Se 0.0000 0.5000 0.5000
Se2 Se 0.5000 0.0000 0.5000
Se3 Se 0.5000 0.5000 0.0000
# Calculated density, g/cm3: 6.160
# Total energy, eV/atom: -23.045
# Crystal system: cubic
# Formation energy (no corrections), eV per atom: -0.20
# Size of the total moment, μB per atom: 0.000



# CsSrNi3 (SCAN, single point on PBEsol structure)
data_CsSrNi3
_chemical_formula_sum 'Cs1 Sr1 Ni3'
_space_group_name_H-M_alt 'P 1'
_space_group_IT_number 1
_cell_length_a 4.8894
_cell_length_b 4.8894
_cell_length_c 4.8894
_cell_angle_alpha 90.00
_cell_angle_beta 90.00
_cell_angle_gamma 90.00
loop_
_space_group_symop_operation_xyz
'x,y,z'
loop_
_atom_site_label
_atom_site_type_symbol
_atom_site_fract_x
_atom_site_fract_y
_atom_site_fract_z
Cs1 Cs 0.0000 0.0000 0.0000
Sr1 Sr 0.5000 0.5000 0.5000
Ni1 Ni 0.0000 0.0000 0.5000
Ni2 Ni 0.0000 0.5000 0.0000
Ni3 Ni 0.5000 0.0000 0.0000
# Calculated density, g/cm3: 5.634
# Total energy, eV/atom: -20.065
# Crystal system: cubic
# Size of the total moment, μB per atom: 0.000



# CsTaNi3 (SCAN, single point on PBEsol structure)
data_CsTaNi3
_chemical_formula_sum 'Cs1 Ta1 Ni3'
_space_group_name_H-M_alt 'P 1'
_space_group_IT_number 1
_cell_length_a 4.5869
_cell_length_b 4.5869
_cell_length_c 4.5869
_cell_angle_alpha 90.00
_cell_angle_beta 90.00
_cell_angle_gamma 90.00
loop_
_space_group_symop_operation_xyz
'x,y,z'
loop_
_atom_site_label
_atom_site_type_symbol
_atom_site_fract_x
_atom_site_fract_y
_atom_site_fract_z
Cs1 Cs 0.0000 0.0000 0.0000
Ta1 Ta 0.5000 0.5000 0.5000
Ni1 Ni 0.0000 0.0000 0.5000
Ni2 Ni 0.0000 0.5000 0.0000
Ni3 Ni 0.5000 0.0000 0.0000
# Calculated density, g/cm3: 8.430
# Total energy, eV/atom: -27.909
# Crystal system: cubic
# Size of the total moment, μB per atom: 0.518



# CsTcNi3 (SCAN, single point on PBEsol structure)
data_CsTcNi3
_chemical_formula_sum 'Cs1 Tc1 Ni3'
_space_group_name_H-M_alt 'P 1'
_space_group_IT_number 1
_cell_length_a 4.6046
_cell_length_b 4.6046
_cell_length_c 4.6046
_cell_angle_alpha 90.00
_cell_angle_beta 90.00
_cell_angle_gamma 90.00
loop_
_space_group_symop_operation_xyz
'x,y,z'
loop_
_atom_site_label
_atom_site_type_symbol
_atom_site_fract_x
_atom_site_fract_y
_atom_site_fract_z
Cs1 Cs 0.0000 0.0000 0.0000
Tc1 Tc 0.5000 0.5000 0.5000
Ni1 Ni 0.0000 0.0000 0.5000
Ni2 Ni 0.0000 0.5000 0.0000
Ni3 Ni 0.5000 0.0000 0.0000
# Calculated density, g/cm3: 6.922
# Total energy, eV/atom: -21.597
# Crystal system: cubic
# Size of the total moment, μB per atom: 0.899



# CsTc2Ni (SCAN, single point on PBEsol structure)
data_CsTc2Ni
_chemical_formula_sum 'Cs1 Tc2 Ni1'
_space_group_name_H-M_alt 'P 1'
_space_group_IT_number 1
_cell_length_a 4.4695
_cell_length_b 4.4695
_cell_length_c 4.4695
_cell_angle_alpha 60.00
_cell_angle_beta 60.00
_cell_angle_gamma 60.00
loop_
_space_group_symop_operation_xyz
'x,y,z'
loop_
_atom_site_label
_atom_site_type_symbol
_atom_site_fract_x
_atom_site_fract_y
_atom_site_fract_z
Cs1 Cs 0.0000 0.0000 0.0000
Tc1 Tc 0.2500 0.2500 0.2500
Tc2 Tc 0.7500 0.7500 0.7500
Ni1 Ni 0.5000 0.5000 0.5000
# Calculated density, g/cm3: 10.195
# Total energy, eV/atom: -29.020
# Crystal system: cubic
# Size of the total moment, μB per atom: 0.001



# CsTi3Ni (SCAN, single point on PBEsol structure)
data_CsTi3Ni
_chemical_formula_sum 'Cs1 Ti3 Ni1'
_space_group_name_H-M_alt 'P 1'
_space_group_IT_number 1
_cell_length_a 4.8327
_cell_length_b 4.8327
_cell_length_c 4.8327
_cell_angle_alpha 90.00
_cell_angle_beta 90.00
_cell_angle_gamma 90.00
loop_
_space_group_symop_operation_xyz
'x,y,z'
loop_
_atom_site_label
_atom_site_type_symbol
_atom_site_fract_x
_atom_site_fract_y
_atom_site_fract_z
Cs1 Cs 0.0000 0.0000 0.0000
Ti1 Ti 0.0000 0.0000 0.5000
Ti2 Ti 0.0000 0.5000 0.0000
Ti3 Ti 0.5000 0.0000 0.0000
Ni1 Ni 0.5000 0.5000 0.5000
# Calculated density, g/cm3: 4.931
# Total energy, eV/atom: -18.048
# Crystal system: cubic
# Size of the total moment, μB per atom: 0.862



> Which value of calculated density does entry 8 give?

4.931 g/cm3



What did the fifth record say?
# CsTaNi3 (SCAN, single point on PBEsol structure)
data_CsTaNi3
_chemical_formula_sum 'Cs1 Ta1 Ni3'
_space_group_name_H-M_alt 'P 1'
_space_group_IT_number 1
_cell_length_a 4.5869
_cell_length_b 4.5869
_cell_length_c 4.5869
_cell_angle_alpha 90.00
_cell_angle_beta 90.00
_cell_angle_gamma 90.00
loop_
_space_group_symop_operation_xyz
'x,y,z'
loop_
_atom_site_label
_atom_site_type_symbol
_atom_site_fract_x
_atom_site_fract_y
_atom_site_fract_z
Cs1 Cs 0.0000 0.0000 0.0000
Ta1 Ta 0.5000 0.5000 0.5000
Ni1 Ni 0.0000 0.0000 0.5000
Ni2 Ni 0.0000 0.5000 0.0000
Ni3 Ni 0.5000 0.0000 0.0000
# Calculated density, g/cm3: 8.430
# Total energy, eV/atom: -27.909
# Crystal system: cubic
# Size of the total moment, μB per atom: 0.518



> Number 2 is which compound?

Cs2Ni3Se4



> What is the formula in the seventh record?

CsTc2Ni